No. 1
VASP calculation (PBE-GGA) on a relaxed structure of DyAl3C3.

The structure in POSCAR format:
```
DyAl3C3
1.0
3.436 0.000 0.000
-1.718 2.976 0.000
0.000 0.000 17.330
Al Dy C
6 2 6
direct
0.667 0.333 0.634
0.333 0.667 0.366
0.333 0.667 0.750
0.333 0.667 0.134
0.667 0.333 0.866
0.667 0.333 0.250
0.000 0.000 0.500
0.000 0.000 0.000
0.333 0.667 0.250
0.667 0.333 0.407
0.333 0.667 0.593
0.667 0.333 0.093
0.667 0.333 0.750
0.333 0.667 0.907
```

Computed properties:
* DFT formation energy: -0.2928 eV per atom
* calculated total energy: -91.102 eV per cell
* magnetization: 0.00 μB/atom
* N(E_F): 0.8 states/eV per cell



No. 2
VASP calculation (PBE-GGA) on a relaxed structure of Sr2Zn4CdGe3.

The structure in POSCAR format:
```
Sr2Zn4CdGe3
1.0
4.379 0.000 0.000
0.000 4.379 0.000
0.000 0.000 11.136
Zn Sr Ge Cd
4 2 3 1
direct
0.500 0.500 0.000
0.000 0.500 0.357
0.000 0.000 0.000
0.500 0.000 0.643
0.000 0.500 0.759
0.500 0.000 0.241
0.000 0.500 0.131
0.500 0.000 0.869
0.000 0.000 0.500
0.500 0.500 0.500
```

Computed properties:
* DFT formation energy: -0.3491 eV per atom
* calculated total energy: -26.718 eV per cell
* magnetization: 0.00 μB/atom
* N(E_F): 1.2 states/eV per cell